Ba3Cd12Hg5 (PBE, relaxed); ΔE_f = 0.056 eV/atom; space group = Ia-3d (230); magnetic moment = 0.0 μB per formula unit
1.0
15.6989 0.0000 0.0000
-5.2330 14.8011 0.0000
-5.2330 -7.4006 12.8181
Cd Ba Hg
48 12 20
Direct
0.0543 0.1896 0.4987 Cd
0.8104 0.9457 0.0013 Cd
0.0013 0.5556 0.6909 Cd
0.6896 0.4987 0.5543 Cd
0.5543 0.5556 0.3648 Cd
0.5013 0.1909 0.0556 Cd
0.4444 0.9987 0.8091 Cd
0.3104 0.8091 0.3648 Cd
0.3091 0.3648 0.8104 Cd
0.9457 0.1352 0.9444 Cd
0.9444 0.3091 0.4987 Cd
0.6896 0.1909 0.6352 Cd
0.8648 0.0543 0.5556 Cd
0.5543 0.9987 0.6896 Cd
0.5013 0.3104 0.9457 Cd
0.8091 0.3104 0.8648 Cd
0.0013 0.4457 0.8104 Cd
0.3648 0.0556 0.5543 Cd
0.3091 0.9444 0.9987 Cd
0.0543 0.8648 0.0556 Cd
0.1896 0.0543 0.9987 Cd
0.8104 0.8648 0.3091 Cd
0.6352 0.9444 0.4457 Cd
0.6352 0.6909 0.6896 Cd
0.9987 0.5543 0.1896 Cd
0.5556 0.5543 0.8648 Cd
0.1909 0.5013 0.5556 Cd
0.6909 0.6352 0.1896 Cd
0.4987 0.6896 0.0543 Cd
0.0556 0.6909 0.5013 Cd
0.4457 0.0013 0.3104 Cd
0.9987 0.4444 0.3091 Cd
0.8091 0.4987 0.4444 Cd
0.3104 0.5013 0.4457 Cd
0.5556 0.0013 0.1909 Cd
0.3648 0.3091 0.3104 Cd
0.0556 0.3648 0.0543 Cd
0.8648 0.8104 0.8091 Cd
0.1352 0.1896 0.1909 Cd
0.9457 0.8104 0.5013 Cd
0.1909 0.6896 0.1352 Cd
0.4444 0.4457 0.1352 Cd
0.4987 0.8091 0.9444 Cd
0.9444 0.6352 0.9457 Cd
0.6909 0.0556 0.0013 Cd
0.1896 0.1352 0.6909 Cd
0.1352 0.9457 0.4444 Cd
0.4457 0.4444 0.6352 Cd
0.3750 0.6250 0.2500 Ba
0.8750 0.1250 0.2500 Ba
0.1250 0.8750 0.7500 Ba
0.6250 0.2500 0.3750 Ba
0.2500 0.1250 0.3750 Ba
0.7500 0.8750 0.6250 Ba
0.1250 0.2500 0.8750 Ba
0.8750 0.7500 0.1250 Ba
0.6250 0.3750 0.7500 Ba
0.7500 0.3750 0.1250 Ba
0.2500 0.6250 0.8750 Ba
0.3750 0.7500 0.6250 Ba
0.3750 0.2500 0.1250 Hg
0.7500 0.1250 0.8750 Hg
0.5000 0.5000 0.5000 Hg
0.5000 0.0000 0.0000 Hg
0.1250 0.7500 0.3750 Hg
0.2500 0.3750 0.6250 Hg
0.0000 0.0000 0.5000 Hg
0.8750 0.6250 0.7500 Hg
0.6250 0.8750 0.2500 Hg
0.7500 0.6250 0.3750 Hg
0.0000 0.5000 0.0000 Hg
0.3750 0.1250 0.7500 Hg
0.0000 0.0000 0.0000 Hg
0.1250 0.3750 0.2500 Hg
0.5000 0.0000 0.5000 Hg
0.5000 0.5000 0.0000 Hg
0.0000 0.5000 0.5000 Hg
0.8750 0.2500 0.6250 Hg
0.2500 0.8750 0.1250 Hg
0.6250 0.7500 0.8750 Hg

***

Pm6Dy2HoTm (PBE, relaxed); ΔE_f = 0.117 eV/atom; space group = C2/c (15); magnetic moment = 0.0 μB per formula unit
1.0
9.1580 -1.9817 -2.0565
0.7933 8.6364 -2.0316
0.7933 -2.3503 8.5551
Pm Dy Tm Ho
12 4 2 2
Direct
0.6180 0.4917 0.7091 Pm
0.3820 0.5083 0.2909 Pm
0.1180 0.7091 0.4917 Pm
0.0543 0.1197 0.7615 Pm
0.1881 0.5657 0.0107 Pm
0.5543 0.7615 0.1197 Pm
0.9457 0.8803 0.2385 Pm
0.6881 0.0107 0.5657 Pm
0.8820 0.2909 0.5083 Pm
0.8119 0.4343 0.9893 Pm
0.3119 0.9893 0.4343 Pm
0.4457 0.2385 0.8803 Pm
0.0454 0.3002 0.2008 Dy
0.9546 0.6998 0.7992 Dy
0.5454 0.2008 0.3002 Dy
0.4546 0.7992 0.6998 Dy
0.2500 0.4110 0.5890 Tm
0.7500 0.5890 0.4110 Tm
0.7500 0.0264 0.9736 Ho
0.2500 0.9736 0.0264 Ho

***

Zr3Mn2S8 (PBE, relaxed); space group = C2/m (12); formation energy from raw total energies = -1.190 eV/atom; magnetic moment = 9.9 μB per formula unit
1.0
0.2253 -5.6823 -3.0614
6.2790 1.9693 -3.1932
-0.1066 -2.7961 6.4434
Mn S Zr
2 8 3
Direct
0.4383 0.2793 0.5586 Mn
0.5617 0.7207 0.4414 Mn
0.8641 0.6196 0.2392 S
0.6476 0.1110 0.7409 S
0.6476 0.6299 0.7409 S
0.8496 0.1201 0.2403 S
0.3524 0.8890 0.2591 S
0.3524 0.3701 0.2591 S
0.1504 0.8799 0.7597 S
0.1359 0.3804 0.7608 S
0.5000 0.0000 0.0000 Zr
0.0000 0.7466 0.0000 Zr
0.0000 0.2534 0.0000 Zr